Record 1
Below is a relaxed LuNbCoSi crystal, with properties calculated at the PBE-GGA level.

Output
**Mass density**: 9.348 g/cm³

Lattice parameters (Å, degrees): 4.467 4.467 4.467 60.00 60.00 60.00
Sites, in units of the cell vectors:
Lu 0.000 0.000 0.000
Nb 0.250 0.250 0.250
Co 0.750 0.750 0.750
Si 0.500 0.500 0.500



Record 2
Below is a relaxed LuCoNi2 crystal, with properties calculated at the PBE-GGA level.

Output
**Formation enthalpy at 0 K**: -0.069 eV per atom
**Mass density**: 10.605 g/cm³

Lattice parameters (Å, degrees): 4.269 4.269 4.269 60.00 60.00 60.00
Sites, in units of the cell vectors:
Lu 0.000 0.000 0.000
Co 0.250 0.250 0.250
Ni 0.500 0.500 0.500
Ni 0.750 0.750 0.750



Record 3
Below is a relaxed LuNpCo crystal, with properties calculated at the PBE-GGA level.

Output
**Formation enthalpy at 0 K**: 0.268 eV per atom
**Mass density**: 11.840 g/cm³

Lattice parameters (Å, degrees): 4.537 4.537 4.537 60.00 60.00 60.00
Sites, in units of the cell vectors:
Lu 0.000 0.000 0.000
Np 0.500 0.500 0.500
Co 0.250 0.250 0.250



Computed electronic total energy (Ry per atom) in order:
-0.494 -0.423 -0.578